[1]
16
Lattice="4.228 0.000 0.000 0.000 5.812 0.000 0.000 0.000 11.526" Properties=species:S:1:pos:R:3 comment="Ce2InRh5, relaxed, DFT PBE" crystal_system=orthorhombic volume_a3_per_cell=283 magnetic_moment_mub_per_cell=0.00 total_energy_ev_per_atom=-7.14 pbc="T T T"
Ce 2.114 1.822 4.146
Ce 2.114 3.991 7.380
Ce 2.114 1.085 9.909
Ce 2.114 4.728 1.617
In 0.000 0.000 5.763
In 0.000 2.906 0.000
Rh 2.114 1.684 1.350
Rh 2.114 4.129 10.176
Rh 2.114 4.590 4.413
Rh 2.114 1.223 7.113
Rh 0.000 5.501 8.619
Rh 0.000 0.311 2.907
Rh 0.000 2.595 8.671
Rh 0.000 3.217 2.856
Rh 0.000 2.906 5.763
Rh 0.000 0.000 0.000

[2]
5
Lattice="-3.806 -4.591 -1.156 -1.797 -5.561 1.656 -5.620 -2.090 3.293" Properties=species:S:1:pos:R:3 comment="CeIn2Rh2, relaxed, DFT PBE" crystal_system=monoclinic volume_a3_per_cell=104 magnetic_moment_mub_per_cell=0.00 total_energy_ev_per_atom=-5.67 pbc="T T T"
Ce -0.898 -2.780 0.828
In -4.030 -5.294 2.199
In -7.192 -6.948 1.595
Rh -3.396 -3.585 0.044
Rh -7.826 -8.657 3.750

[3]
11
Lattice="4.702 0.000 0.000 0.000 4.702 0.000 0.000 0.000 12.286" Properties=species:S:1:pos:R:3 comment="Ce2In8Rh, relaxed, DFT PBE" crystal_system=tetragonal volume_a3_per_cell=272 magnetic_moment_mub_per_cell=1.55 total_energy_ev_per_atom=-4.16 pbc="T T T"
Ce 0.000 0.000 3.771
Ce 0.000 0.000 8.516
In 0.000 2.351 1.493
In 0.000 2.351 10.793
In 2.351 0.000 1.493
In 2.351 0.000 10.793
In 2.351 2.351 3.788
In 2.351 2.351 8.498
In 0.000 2.351 6.143
In 2.351 0.000 6.143
Rh 0.000 0.000 0.000

[4]
19
Lattice="7.824 -0.093 -0.131 -2.030 7.557 -0.131 -2.030 -2.615 7.091" Properties=species:S:1:pos:R:3 comment="CeIn12Rh6, relaxed, DFT PBE" crystal_system=trigonal volume_a3_per_cell=412 magnetic_moment_mub_per_cell=1.37 total_energy_ev_per_atom=-4.65 pbc="T T T"
Ce 0.000 0.000 0.000
In 5.628 -0.484 3.414
In 4.253 2.831 3.986
In 1.688 2.174 5.867
In 2.076 0.027 2.842
In 2.076 2.674 0.962
In -0.489 2.018 2.842
In -1.864 1.466 6.160
In 1.882 6.291 0.668
In -1.864 5.333 3.414
In 5.628 3.383 0.668
In 1.882 -1.442 6.160
In 1.688 4.822 3.986
Rh 4.324 1.270 1.789
Rh 0.159 0.205 4.842
Rh 0.159 4.504 1.789
Rh 3.605 4.644 1.986
Rh -0.560 3.578 5.039
Rh 3.605 0.344 5.039

[5]
10
Lattice="-4.811 6.616 -0.820 -5.073 -2.576 -2.277 -4.219 -1.141 4.296" Properties=species:S:1:pos:R:3 comment="Ce6In3Rh, relaxed, DFT PBE" crystal_system=monoclinic volume_a3_per_cell=278 magnetic_moment_mub_per_cell=4.78 total_energy_ev_per_atom=-5.37 pbc="T T T"
Ce -4.969 1.471 2.386
Ce -8.630 2.274 2.686
Ce -9.134 1.428 -1.187
Ce -5.472 0.625 -1.488
Ce -6.550 -1.586 1.197
Ce -7.552 4.485 0.001
In -2.775 1.052 0.131
In -11.328 1.847 1.068
In 0.000 0.000 0.000
Rh -7.051 1.449 0.599

[6]
8
Lattice="6.306 -0.268 -0.461 -3.339 5.356 0.461 -3.084 -1.611 5.286" Properties=species:S:1:pos:R:3 comment="Ce3InRh4, relaxed, DFT PBE" crystal_system=orthorhombic volume_a3_per_cell=169 magnetic_moment_mub_per_cell=1.41 total_energy_ev_per_atom=-6.76 pbc="T T T"
Ce 0.066 -0.039 4.641
Ce 2.784 -1.624 4.169
Ce 0.525 3.103 1.705
In -2.611 1.522 3.773
Rh -4.677 2.728 5.006
Rh -1.060 0.618 1.768
Rh 1.776 0.572 1.611
Rh -2.962 3.528 2.073

[7]
4
Lattice="-0.956 3.362 -0.357 -4.467 -1.230 0.380 0.239 0.557 4.609" Properties=species:S:1:pos:R:3 comment="CeInRh2, relaxed, DFT PBE" crystal_system=tetragonal volume_a3_per_cell=76 magnetic_moment_mub_per_cell=0.45 total_energy_ev_per_atom=-6.48 pbc="T T T"
Rh 0.119 0.279 2.305
Rh -2.234 -0.615 0.190
Ce -0.478 1.681 -0.178
In -2.592 1.345 2.316

[8]
4
Lattice="4.514 0.000 0.000 0.000 4.471 0.000 0.000 0.000 4.471" Properties=species:S:1:pos:R:3 comment="Ce2InRh, relaxed, DFT PBE" crystal_system=tetragonal volume_a3_per_cell=90 magnetic_moment_mub_per_cell=0.00 total_energy_ev_per_atom=-5.92 polymorph_energy_ev_per_atom=0.103 pbc="T T T"
Rh 2.257 0.000 0.000
Ce 0.000 0.000 2.235
Ce 0.000 2.235 0.000
In 2.257 2.235 2.235

[9]
7
Lattice="4.289 -0.009 0.002 -2.148 6.887 1.210 0.000 0.277 5.205" Properties=species:S:1:pos:R:3 comment="Ce2In2Rh3, relaxed, DFT PBE" crystal_system=triclinic volume_a3_per_cell=152 magnetic_moment_mub_per_cell=0.00 total_energy_ev_per_atom=-6.27 pbc="T T T"
Ce 2.141 2.190 5.061
Ce 0.000 4.966 1.356
In 2.147 5.604 3.996
In -0.006 1.552 2.422
Rh 0.000 0.000 0.000
Rh 2.143 3.299 2.325
Rh -0.002 3.857 4.092

[10]
3
Lattice="3.308 0.000 0.000 0.000 3.308 0.000 -1.654 -1.654 5.939" Properties=species:S:1:pos:R:3 comment="CeInRh, relaxed, DFT PBE" crystal_system=tetragonal volume_a3_per_cell=65 magnetic_moment_mub_per_cell=0.82 total_energy_ev_per_atom=-5.86 pbc="T T T"
Rh 1.654 1.654 5.298
Ce 1.654 1.654 1.141
In 0.000 0.000 3.657

[11]
10
Lattice="3.483 0.002 0.000 1.741 6.786 0.000 0.000 0.000 11.159" Properties=species:S:1:pos:R:3 comment="Ce3InRh, relaxed, DFT PBE" crystal_system=monoclinic volume_a3_per_cell=264 magnetic_moment_mub_per_cell=2.91 total_energy_ev_per_atom=-5.96 polymorph_energy_ev_per_atom=0.035 pbc="T T T"
Ce 3.485 4.607 8.106
Ce 1.739 2.181 2.526
Ce 3.485 4.607 3.053
Ce 1.739 2.181 8.632
Ce 1.736 6.451 11.159
Ce 3.487 0.337 5.579
In 3.478 3.465 11.159
In 1.745 3.322 5.579
Rh 3.483 0.003 8.368
Rh 3.483 0.003 2.790

[12]
17
Lattice="7.755 0.000 -2.742 -3.877 6.716 -2.742 0.000 0.000 8.225" Properties=species:S:1:pos:R:3 comment="Ce4In12Rh, relaxed, DFT PBE" crystal_system=cubic volume_a3_per_cell=428 magnetic_moment_mub_per_cell=3.56 total_energy_ev_per_atom=-4.18 pbc="T T T"
Ce 0.000 0.000 4.112
Ce 3.877 0.000 -1.371
Ce 1.939 3.358 1.371
Ce -1.939 3.358 -1.371
In -1.092 1.891 1.544
In -2.786 4.825 3.939
In 2.786 4.825 -3.939
In 1.092 1.891 -1.544
In 2.183 0.000 1.544
In 5.571 0.000 3.939
In 2.908 1.679 4.112
In 0.969 5.037 -1.371
In 4.847 1.679 1.371
In -0.969 5.037 1.371
In 3.877 3.358 -1.371
In 0.000 3.358 4.112
Rh 0.000 0.000 0.000

[13]
3
Lattice="-3.019 3.557 -0.739 -3.194 -0.295 -3.467 -4.576 -0.531 1.043" Properties=species:S:1:pos:R:3 comment="CeInRh, relaxed, DFT PBE" crystal_system=cubic volume_a3_per_cell=75 magnetic_moment_mub_per_cell=0.85 total_energy_ev_per_atom=-5.88 pbc="T T T"
Rh -2.697 0.683 -0.791
Ce 0.000 0.000 0.000
In -5.394 1.366 -1.581

[14]
16
Lattice="7.015 0.000 -0.040 0.000 6.356 0.000 -0.125 0.000 9.237" Properties=species:S:1:pos:R:3 comment="Ce2InRh, relaxed, DFT PBE" crystal_system=monoclinic volume_a3_per_cell=412 magnetic_moment_mub_per_cell=6.06 total_energy_ev_per_atom=-6.01 polymorph_energy_ev_per_atom=0.013 pbc="T T T"
Ce 2.340 2.252 1.549
Ce 5.848 0.926 1.529
Ce 1.224 5.517 3.768
Ce 1.042 5.430 7.668
Ce 5.666 0.839 5.428
Ce 2.159 2.339 5.448
Ce 4.550 4.104 7.648
Ce 4.731 4.016 3.748
In 6.626 4.163 1.090
In 3.771 0.985 8.086
In 3.119 5.371 1.111
In 0.264 2.193 8.106
Rh 3.103 5.551 5.834
Rh 6.611 3.983 5.814
Rh 3.786 0.805 3.362
Rh 0.279 2.373 3.382

[15]
8
Lattice="-4.519 -0.497 -1.594 -1.672 -0.024 4.749 1.890 8.296 -0.664" Properties=species:S:1:pos:R:3 comment="Ce3In3Rh2, relaxed, DFT PBE" crystal_system=monoclinic volume_a3_per_cell=196 magnetic_moment_mub_per_cell=1.80 total_energy_ev_per_atom=-5.69 pbc="T T T"
Ce -1.111 2.667 2.319
Ce -3.190 5.108 0.172
Ce 0.000 0.000 0.000
In -2.466 1.884 -0.876
In -3.095 -0.260 1.577
In -1.835 5.891 3.367
Rh -0.379 3.423 0.008
Rh -3.922 4.352 2.484

[16]
9
Lattice="4.644 0.000 0.000 -2.322 5.326 0.370 0.000 -0.809 8.867" Properties=species:S:1:pos:R:3 comment="Ce6InRh2, relaxed, DFT PBE" crystal_system=monoclinic volume_a3_per_cell=221 magnetic_moment_mub_per_cell=2.07 total_energy_ev_per_atom=-6.33 pbc="T T T"
Ce 0.000 0.047 7.716
Ce 2.322 0.837 1.712
Ce 0.000 3.680 7.525
Ce 2.322 1.752 5.433
Ce 0.000 2.765 3.804
Ce 2.322 4.470 1.522
In 0.000 -0.404 4.433
Rh 2.322 1.870 8.040
Rh 0.000 2.647 1.197

[17]
9
Lattice="-1.010 -1.372 3.867 4.628 -1.684 -1.697 4.364 6.925 3.598" Properties=species:S:1:pos:R:3 comment="Ce2In3Rh4, relaxed, DFT PBE" crystal_system=monoclinic volume_a3_per_cell=180 magnetic_moment_mub_per_cell=0.00 total_energy_ev_per_atom=-6.07 pbc="T T T"
Ce 3.272 -0.027 0.845
Ce 4.710 3.896 4.922
In 5.340 2.172 2.166
In 0.000 0.000 0.000
In 2.642 1.697 3.601
Rh 0.886 -0.072 2.515
Rh 3.297 4.317 2.394
Rh 4.684 -0.448 3.374
Rh 7.096 3.941 3.253

[18]
8
Lattice="4.041 0.000 0.000 0.000 5.658 -0.036 0.000 0.036 5.658" Properties=species:S:1:pos:R:3 comment="CeInRh6, relaxed, DFT PBE" crystal_system=tetragonal volume_a3_per_cell=129 magnetic_moment_mub_per_cell=0.00 total_energy_ev_per_atom=-6.99 pbc="T T T"
Ce 2.021 0.000 0.000
In 2.021 2.847 2.811
Rh 0.000 4.227 1.414
Rh 0.000 1.467 4.209
Rh 0.000 4.245 4.192
Rh 0.000 1.449 1.431
Rh 2.021 2.829 -0.018
Rh 2.021 0.018 2.829

[19]
11
Lattice="5.463 0.000 0.000 -2.732 5.904 -0.373 0.000 -2.637 8.307" Properties=species:S:1:pos:R:3 comment="Ce5InRh5, relaxed, DFT PBE" crystal_system=monoclinic volume_a3_per_cell=263 magnetic_moment_mub_per_cell=1.92 total_energy_ev_per_atom=-6.83 pbc="T T T"
Ce 2.732 1.128 2.573
Ce 2.732 -0.156 6.896
Ce 0.000 -1.318 4.154
Ce 0.000 3.423 1.038
Ce 0.000 2.140 5.361
In 0.000 0.000 0.000
Rh 2.732 3.757 1.297
Rh 2.732 2.402 5.288
Rh 2.732 0.000 0.000
Rh 0.000 0.865 2.646
Rh 0.000 -0.490 6.637

[20]
12
Lattice="-4.835 5.905 2.705 -5.110 -0.062 -0.960 -3.612 -3.578 5.375" Properties=species:S:1:pos:R:3 comment="Ce5InRh6, relaxed, DFT PBE" crystal_system=monoclinic volume_a3_per_cell=250 magnetic_moment_mub_per_cell=0.38 total_energy_ev_per_atom=-7.06 pbc="T T T"
Ce -5.665 0.598 4.707
Ce -2.873 -1.100 1.285
Ce -4.972 2.921 0.872
Ce -5.848 -2.540 3.131
Ce -7.892 1.667 2.413
In 0.000 0.000 0.000
Rh -5.100 3.312 3.976
Rh -5.591 0.029 1.899
Rh -2.106 1.669 0.631
Rh -7.839 4.174 1.114
Rh -7.966 2.236 5.221
Rh -8.457 -1.047 3.144